No. 1
A plane-wave DFT calculation with SCAN was carried out for a crystal of HgBO2F relaxed with PBEsol.

Calculated values
The value obtained for the total energy is -19.004 eV per atom. The calculation puts the volume at 51.7 Å³/cell. As for the space group: P4/mmm. The density of states at the Fermi level comes out at 0.718 states/eV/f.u.

Cell: 3.201 3.201 5.049 Å, 90.00 90.00 90.00°
Element x y z (fractional)
Hg: 0.000 0.000 0.000
B: 0.500 0.500 0.500
O: 0.000 0.500 0.500
O: 0.500 0.000 0.500
F: 0.500 0.500 0.000

---

No. 2
A plane-wave DFT calculation with SCAN was carried out for a crystal of HgB2OF relaxed with PBEsol.

Calculated values
The value obtained for the total energy is -17.121 eV per atom. The calculation puts the volume at 76.2 Å³/cell. As for the space group: P4/mmm. The density of states at the Fermi level comes out at 1.533 states/eV/f.u.

Cell: 4.309 4.309 4.101 Å, 90.00 90.00 90.00°
Element x y z (fractional)
Hg: 0.000 0.000 0.000
B: 0.000 0.500 0.000
B: 0.500 0.000 0.000
O: 0.000 0.000 0.500
F: 0.500 0.500 0.500